Entry 1:
Here is a geometry-optimized Rb2TlS4 structure from Alexandria. Energies are from PBE.

Geometry as CIF:
```
data_Rb2TlS4
_cell_length_a 8.993
_cell_length_b 8.993
_cell_length_c 8.993
_cell_angle_alpha 144.74
_cell_angle_beta 144.74
_cell_angle_gamma 50.72
_space_group_name_H-M_alt 'P 1'
_space_group_IT_number 1
_space_group_name_Hall 'P 1'
loop_
_atom_site_label
_atom_site_type_symbol
_atom_site_fract_x
_atom_site_fract_y
_atom_site_fract_z
Rb1 Rb 0.137 0.137 0.000
Rb2 Rb 0.863 0.863 0.000
Tl1 Tl 0.500 0.500 0.000
S1 S 0.000 0.500 0.500
S2 S 0.347 0.347 0.000
S3 S 0.500 0.000 0.500
S4 S 0.653 0.653 0.000
```

Computed properties:
Its calculated total energy is -3.11 eV/atom. For the energy relative to the elements, uncorrected, the calculation gives -0.136 eV/atom. Its symmetry is I4/mmm (139). The value obtained for the mass density is 3.47 g/cm³. The spin magnetization comes out at 3.07 μB/cell.

Entry 2:
Here is a geometry-optimized RbTlS6 structure from Alexandria. Energies are from PBE.

Geometry as CIF:
```
data_RbTlS6
_cell_length_a 6.222
_cell_length_b 6.243
_cell_length_c 7.388
_cell_angle_alpha 88.22
_cell_angle_beta 88.08
_cell_angle_gamma 84.12
_space_group_name_H-M_alt 'P 1'
_space_group_IT_number 1
_space_group_name_Hall 'P 1'
loop_
_atom_site_label
_atom_site_type_symbol
_atom_site_fract_x
_atom_site_fract_y
_atom_site_fract_z
Rb1 Rb 0.000 0.000 0.000
Tl1 Tl 0.500 0.500 0.000
S1 S 0.079 0.472 0.773
S2 S 0.289 0.288 0.616
S3 S 0.473 0.079 0.773
S4 S 0.527 0.921 0.227
S5 S 0.711 0.712 0.384
S6 S 0.921 0.528 0.227
```

Computed properties:
Its calculated total energy is -3.70 eV/atom. For the energy relative to the elements, uncorrected, the calculation gives -0.189 eV/atom. Its symmetry is P-1 (2). The value obtained for the mass density is 2.81 g/cm³. The spin magnetization comes out at 1.96 μB/cell.

Entry 3:
Here is a geometry-optimized RbTl3S3 structure from Alexandria. Energies are from PBE.

Geometry as CIF:
```
data_RbTl3S3
_cell_length_a 9.075
_cell_length_b 9.075
_cell_length_c 9.075
_cell_angle_alpha 56.41
_cell_angle_beta 56.41
_cell_angle_gamma 56.41
_space_group_name_H-M_alt 'P 1'
_space_group_IT_number 1
_space_group_name_Hall 'P 1'
loop_
_atom_site_label
_atom_site_type_symbol
_atom_site_fract_x
_atom_site_fract_y
_atom_site_fract_z
Rb1 Rb 0.168 0.168 0.168
Rb2 Rb 0.832 0.832 0.832
Tl1 Tl 0.089 0.377 0.696
Tl2 Tl 0.304 0.911 0.623
Tl3 Tl 0.377 0.696 0.089
Tl4 Tl 0.623 0.304 0.911
Tl5 Tl 0.696 0.089 0.377
Tl6 Tl 0.911 0.623 0.304
S1 S 0.036 0.768 0.411
S2 S 0.232 0.589 0.964
S3 S 0.411 0.036 0.768
S4 S 0.589 0.964 0.232
S5 S 0.768 0.411 0.036
S6 S 0.964 0.232 0.589
```

Computed properties:
Its calculated total energy is -3.28 eV/atom. For the energy relative to the elements, uncorrected, the calculation gives -0.356 eV/atom. Its symmetry is R-3 (148). The value obtained for the mass density is 5.45 g/cm³. The spin magnetization comes out at 0.00 μB/cell.

Entry 4:
Here is a geometry-optimized RbTlS structure from Alexandria. Energies are from PBE.

Geometry as CIF:
```
data_RbTlS
_cell_length_a 4.423
_cell_length_b 4.423
_cell_length_c 6.358
_cell_angle_alpha 90.00
_cell_angle_beta 90.00
_cell_angle_gamma 120.00
_space_group_name_H-M_alt 'P 1'
_space_group_IT_number 1
_space_group_name_Hall 'P 1'
loop_
_atom_site_label
_atom_site_type_symbol
_atom_site_fract_x
_atom_site_fract_y
_atom_site_fract_z
Rb1 Rb 0.000 0.000 0.000
Tl1 Tl 0.333 0.667 0.529
S1 S 0.667 0.333 0.307
```

Computed properties:
Its calculated total energy is -3.18 eV/atom. For the energy relative to the elements, uncorrected, the calculation gives -0.695 eV/atom. Its symmetry is P3m1 (156). The value obtained for the mass density is 4.96 g/cm³. The value obtained for the polymorph energy (0 for the lowest one) is 24 meV per atom. The spin magnetization comes out at 0.00 μB/cell.

Entry 5:
Here is a geometry-optimized RbTl2S2 structure from Alexandria. Energies are from PBE.

Geometry as CIF:
```
data_RbTl2S2
_cell_length_a 10.203
_cell_length_b 10.203
_cell_length_c 10.203
_cell_angle_alpha 23.74
_cell_angle_beta 23.74
_cell_angle_gamma 23.74
_space_group_name_H-M_alt 'P 1'
_space_group_IT_number 1
_space_group_name_Hall 'P 1'
loop_
_atom_site_label
_atom_site_type_symbol
_atom_site_fract_x
_atom_site_fract_y
_atom_site_fract_z
Rb1 Rb 0.000 0.000 0.000
Tl1 Tl 0.208 0.208 0.208
Tl2 Tl 0.792 0.792 0.792
S1 S 0.411 0.411 0.411
S2 S 0.589 0.589 0.589
```

Computed properties:
Its calculated total energy is -3.32 eV/atom. For the energy relative to the elements, uncorrected, the calculation gives -0.529 eV/atom. Its symmetry is R-3m (166). The value obtained for the mass density is 6.13 g/cm³. The value obtained for the polymorph energy (0 for the lowest one) is 0 meV per atom. The spin magnetization comes out at 0.00 μB/cell.

Entry 6:
Here is a geometry-optimized RbTlS3 structure from Alexandria. Energies are from PBE.

Geometry as CIF:
```
data_RbTlS3
_cell_length_a 5.978
_cell_length_b 5.978
_cell_length_c 5.978
_cell_angle_alpha 90.00
_cell_angle_beta 90.00
_cell_angle_gamma 90.00
_space_group_name_H-M_alt 'P 1'
_space_group_IT_number 1
_space_group_name_Hall 'P 1'
loop_
_atom_site_label
_atom_site_type_symbol
_atom_site_fract_x
_atom_site_fract_y
_atom_site_fract_z
Rb1 Rb 0.000 0.000 0.000
Tl1 Tl 0.500 0.500 0.500
S1 S 0.000 0.000 0.500
S2 S 0.000 0.500 0.000
S3 S 0.500 0.000 0.000
```

Computed properties:
Its calculated total energy is -2.36 eV/atom. For the energy relative to the elements, uncorrected, the calculation gives 0.783 eV/atom. Its symmetry is Pm-3m (221). The value obtained for the mass density is 3.00 g/cm³. The value obtained for the polymorph energy (0 for the lowest one) is 1254 meV per atom. The spin magnetization comes out at 4.00 μB/cell.

Entry 7:
Here is a geometry-optimized Rb2TlS structure from Alexandria. Energies are from PBE.

Geometry as CIF:
```
data_Rb2TlS
_cell_length_a 5.922
_cell_length_b 5.922
_cell_length_c 5.922
_cell_angle_alpha 60.00
_cell_angle_beta 60.00
_cell_angle_gamma 60.00
_space_group_name_H-M_alt 'P 1'
_space_group_IT_number 1
_space_group_name_Hall 'P 1'
loop_
_atom_site_label
_atom_site_type_symbol
_atom_site_fract_x
_atom_site_fract_y
_atom_site_fract_z
Rb1 Rb 0.250 0.250 0.250
Rb2 Rb 0.750 0.750 0.750
Tl1 Tl 0.000 0.000 0.000
S1 S 0.500 0.500 0.500
```

Computed properties:
Its calculated total energy is -2.41 eV/atom. For the energy relative to the elements, uncorrected, the calculation gives -0.301 eV/atom. Its symmetry is Fm-3m (225). The value obtained for the mass density is 4.61 g/cm³. The value obtained for the polymorph energy (0 for the lowest one) is 82 meV per atom. The spin magnetization comes out at 0.00 μB/cell.

Entry 8:
Here is a geometry-optimized RbTl2S structure from Alexandria. Energies are from PBE.

Geometry as CIF:
```
data_RbTl2S
_cell_length_a 7.244
_cell_length_b 7.244
_cell_length_c 7.244
_cell_angle_alpha 102.06
_cell_angle_beta 102.06
_cell_angle_gamma 125.59
_space_group_name_H-M_alt 'P 1'
_space_group_IT_number 1
_space_group_name_Hall 'P 1'
loop_
_atom_site_label
_atom_site_type_symbol
_atom_site_fract_x
_atom_site_fract_y
_atom_site_fract_z
Rb1 Rb 0.000 0.000 0.000
Rb2 Rb 0.750 0.250 0.500
Tl1 Tl 0.186 0.625 0.061
Tl2 Tl 0.375 0.436 0.561
Tl3 Tl 0.564 0.125 0.939
Tl4 Tl 0.875 0.814 0.439
S1 S 0.250 0.750 0.500
S2 S 0.500 0.500 0.000
```

Computed properties:
Its calculated total energy is -2.82 eV/atom. For the energy relative to the elements, uncorrected, the calculation gives -0.358 eV/atom. Its symmetry is I-42d (122). The value obtained for the mass density is 6.36 g/cm³. The value obtained for the polymorph energy (0 for the lowest one) is 0 meV per atom. The spin magnetization comes out at 0.00 μB/cell.

Entry 9:
Here is a geometry-optimized RbTlS3 structure from Alexandria. Energies are from PBE.

Geometry as CIF:
```
data_RbTlS3
_cell_length_a 5.307
_cell_length_b 5.307
_cell_length_c 5.307
_cell_angle_alpha 90.00
_cell_angle_beta 90.00
_cell_angle_gamma 90.00
_space_group_name_H-M_alt 'P 1'
_space_group_IT_number 1
_space_group_name_Hall 'P 1'
loop_
_atom_site_label
_atom_site_type_symbol
_atom_site_fract_x
_atom_site_fract_y
_atom_site_fract_z
Rb1 Rb 0.000 0.000 0.000
Tl1 Tl 0.500 0.500 0.500
S1 S 0.000 0.500 0.500
S2 S 0.500 0.000 0.500
S3 S 0.500 0.500 0.000
```

Computed properties:
Its calculated total energy is -3.09 eV/atom. For the energy relative to the elements, uncorrected, the calculation gives 0.050 eV/atom. Its symmetry is Pm-3m (221). The value obtained for the mass density is 4.29 g/cm³. The value obtained for the polymorph energy (0 for the lowest one) is 521 meV per atom. The spin magnetization comes out at 2.06 μB/cell.

Entry 10:
Here is a geometry-optimized Rb2TlS2 structure from Alexandria. Energies are from PBE.

Geometry as CIF:
```
data_Rb2TlS2
_cell_length_a 9.072
_cell_length_b 9.072
_cell_length_c 8.044
_cell_angle_alpha 90.00
_cell_angle_beta 90.00
_cell_angle_gamma 147.78
_space_group_name_H-M_alt 'P 1'
_space_group_IT_number 1
_space_group_name_Hall 'P 1'
loop_
_atom_site_label
_atom_site_type_symbol
_atom_site_fract_x
_atom_site_fract_y
_atom_site_fract_z
Rb1 Rb 0.036 0.964 0.500
Rb2 Rb 0.201 0.799 0.198
Rb3 Rb 0.799 0.201 0.698
Rb4 Rb 0.964 0.036 0.000
Tl1 Tl 0.405 0.595 0.359
Tl2 Tl 0.595 0.405 0.859
S1 S 0.156 0.844 0.807
S2 S 0.447 0.553 0.705
S3 S 0.553 0.447 0.205
S4 S 0.844 0.156 0.307
```

Computed properties:
Its calculated total energy is -3.28 eV/atom. For the energy relative to the elements, uncorrected, the calculation gives -0.766 eV/atom. Its symmetry is Cmc2_1 (36). The value obtained for the mass density is 4.13 g/cm³. The value obtained for the polymorph energy (0 for the lowest one) is 0 meV per atom. The spin magnetization comes out at 0.00 μB/cell.

Entry 11:
Here is a geometry-optimized Rb5Tl2S5 structure from Alexandria. Energies are from PBE.

Geometry as CIF:
```
data_Rb5Tl2S5
_cell_length_a 7.835
_cell_length_b 7.835
_cell_length_c 12.415
_cell_angle_alpha 105.20
_cell_angle_beta 105.20
_cell_angle_gamma 33.73
_space_group_name_H-M_alt 'P 1'
_space_group_IT_number 1
_space_group_name_Hall 'P 1'
loop_
_atom_site_label
_atom_site_type_symbol
_atom_site_fract_x
_atom_site_fract_y
_atom_site_fract_z
Rb1 Rb 0.000 0.000 0.000
Rb2 Rb 0.159 0.159 0.566
Rb3 Rb 0.263 0.263 0.865
Rb4 Rb 0.737 0.737 0.135
Rb5 Rb 0.841 0.841 0.434
Tl1 Tl 0.466 0.466 0.704
Tl2 Tl 0.534 0.534 0.296
S1 S 0.144 0.144 0.293
S2 S 0.393 0.393 0.124
S3 S 0.500 0.500 0.500
S4 S 0.607 0.607 0.876
S5 S 0.856 0.856 0.707
```

Computed properties:
Its calculated total energy is -3.30 eV/atom. For the energy relative to the elements, uncorrected, the calculation gives -0.785 eV/atom. Its symmetry is C2/m (12). The value obtained for the mass density is 4.07 g/cm³. The spin magnetization comes out at 0.00 μB/cell.

Entry 12:
Here is a geometry-optimized Rb5Tl2S4 structure from Alexandria. Energies are from PBE.

Geometry as CIF:
```
data_Rb5Tl2S4
_cell_length_a 11.560
_cell_length_b 11.560
_cell_length_c 10.318
_cell_angle_alpha 111.15
_cell_angle_beta 111.15
_cell_angle_gamma 24.49
_space_group_name_H-M_alt 'P 1'
_space_group_IT_number 1
_space_group_name_Hall 'P 1'
loop_
_atom_site_label
_atom_site_type_symbol
_atom_site_fract_x
_atom_site_fract_y
_atom_site_fract_z
Rb1 Rb 0.000 0.000 0.000
Rb2 Rb 0.321 0.321 0.629
Rb3 Rb 0.386 0.386 0.297
Rb4 Rb 0.614 0.614 0.703
Rb5 Rb 0.679 0.679 0.371
Tl1 Tl 0.042 0.042 0.403
Tl2 Tl 0.958 0.958 0.597
S1 S 0.166 0.166 0.569
S2 S 0.477 0.477 0.752
S3 S 0.523 0.523 0.248
S4 S 0.834 0.834 0.431
```

Computed properties:
Its calculated total energy is -3.16 eV/atom. For the energy relative to the elements, uncorrected, the calculation gives -0.788 eV/atom. Its symmetry is C2/m (12). The value obtained for the mass density is 3.01 g/cm³. The spin magnetization comes out at 0.00 μB/cell.